BaMn (PBEsol, optimized geometry); symmetry = No. 74; crystal system = orthorhombic; E_form = 0.797 eV per atom; E_tot = -5.1580 eV/atom
1.0
-2.704 0.879 2.520
-0.227 -5.280 1.598
5.480 3.224 1.891
Ba Mn
2 2
Direct
0.103 0.853 0.205 Ba
0.897 0.147 0.795 Ba
0.669 0.419 0.338 Mn
0.331 0.581 0.662 Mn